DFT (PBE) results for a geometry-optimized Zn3Cl2 structure.

Summary:
The value obtained for the energy relative to the elements, uncorrected is -451 meV/atom. Its mass density is 3.4 g/cm³.

Structure (POSCAR):
```
Zn3Cl2
1.0
0.000 9.203 1.821
7.894 0.000 1.821
7.894 9.203 0.000
Zn Cl
6 4
direct
0.000 0.000 0.000
0.125 0.389 0.411
0.176 0.839 0.861
0.250 0.250 0.250
0.389 0.125 0.074
0.839 0.176 0.125
0.190 0.818 0.650
0.600 0.908 0.060
0.818 0.190 0.342
0.908 0.600 0.432
```

DFT (PBE) results for a geometry-optimized ZrAgHg structure.

Summary:
Its mass density is 10.5 g/cm³. Its formation energy is 0.0611 eV/atom.

Structure (POSCAR):
```
ZrAgHg
1.0
3.106 0.000 0.000
-1.553 2.690 0.000
0.000 0.000 7.546
Zr Ag Hg
1 1 1
direct
0.000 0.000 0.000
0.667 0.333 0.329
0.333 0.667 0.657
```

DFT (PBE) results for a geometry-optimized GaFeC2 structure.

Summary:
The energy above the most stable polymorph in this dataset comes out at 0 meV per atom. Its mass density is 5.5 g/cm³. Its formation energy is 0.7554 eV/atom.

Structure (POSCAR):
```
GaFeC2
1.0
-2.270 2.270 4.398
2.270 -2.270 4.398
2.270 2.270 -4.398
Ga Fe C
2 2 4
direct
0.000 0.000 0.000
0.750 0.250 0.500
0.250 0.750 0.500
0.500 0.500 0.000
0.170 0.625 0.045
0.375 0.420 0.545
0.580 0.125 0.955
0.875 0.830 0.455
```